# 1
The following is a DFT calculation (PBE) of a relaxed structure of CdMo2PI.

```
CdMo2PI
1.0
4.635 0.000 0.000
0.000 5.643 0.000
0.000 0.000 4.635
Mo I P Cd
2 1 1 1
direct
0.500 0.000 0.000
0.000 0.000 0.500
0.000 0.500 0.000
0.000 0.000 0.000
0.500 0.500 0.500
```

Properties
total magnetization	3.8	μB per cell
theoretical density	6.3	g cm⁻³
raw formation energy	1.10	eV per atom



# 2
The following is a DFT calculation (PBE) of a relaxed structure of Rb2CdMoI6.

```
Rb2CdMoI6
1.0
8.417 0.000 0.000
0.000 8.417 0.000
4.208 4.208 5.967
I Mo Rb Cd
6 1 2 1
direct
0.738 0.738 0.523
0.262 0.262 0.477
0.740 0.740 0.000
0.740 0.260 0.000
0.260 0.260 0.000
0.260 0.740 0.000
0.500 0.500 0.000
0.750 0.250 0.500
0.250 0.750 0.500
0.000 0.000 0.000
```

Properties
total magnetization	3.8	μB per cell
theoretical density	4.5	g cm⁻³
raw formation energy	-0.67	eV per atom



# 3
The following is a DFT calculation (PBE) of a relaxed structure of CdSb2MoI.

```
CdSb2MoI
1.0
5.191 0.000 0.000
0.000 5.191 0.000
0.000 0.000 5.957
Cd Mo Sb I
1 1 2 1
direct
0.500 0.500 0.500
0.000 0.000 0.000
0.000 0.500 0.000
0.500 0.000 0.000
0.000 0.000 0.500
```

Properties
excess energy over the best structure of this formula in the dataset	0.0	meV/atom
total magnetization	0.5	μB per cell
theoretical density	6.0	g cm⁻³
raw formation energy	0.45	eV per atom



# 4
The following is a DFT calculation (PBE) of a relaxed structure of CdSb2MoI.

```
CdSb2MoI
1.0
-2.006 4.182 -2.890
-5.020 -1.141 1.833
0.864 3.597 4.606
Cd Sb Mo I
1 2 1 1
direct
0.000 0.000 0.000
0.000 0.500 0.000
0.500 0.000 0.000
0.500 0.500 0.500
0.000 0.000 0.500
```

Properties
excess energy over the best structure of this formula in the dataset	864.5	meV/atom
total magnetization	3.5	μB per cell
theoretical density	5.4	g cm⁻³
raw formation energy	1.31	eV per atom



# 5
The following is a DFT calculation (PBE) of a relaxed structure of CdTeMoI2.

```
CdTeMoI2
1.0
5.719 0.000 0.000
0.000 5.719 0.000
0.000 0.000 5.263
Te Cd I Mo
1 1 2 1
direct
0.000 0.000 0.500
0.500 0.500 0.500
0.000 0.500 0.000
0.500 0.000 0.000
0.000 0.000 0.000
```

Properties
excess energy over the best structure of this formula in the dataset	0.0	meV/atom
total magnetization	1.8	μB per cell
theoretical density	5.7	g cm⁻³
raw formation energy	0.29	eV per atom



# 6
The following is a DFT calculation (PBE) of a relaxed structure of CdTeMoI2.

```
CdTeMoI2
1.0
-3.802 -0.904 -4.247
-1.265 -5.170 2.233
-4.152 2.401 3.207
Mo I Cd Te
1 2 1 1
direct
0.500 0.500 0.500
0.500 0.000 0.000
0.000 0.500 0.000
0.000 0.000 0.000
0.000 0.000 0.500
```

Properties
excess energy over the best structure of this formula in the dataset	614.8	meV/atom
total magnetization	4.0	μB per cell
theoretical density	5.1	g cm⁻³
raw formation energy	0.91	eV per atom



# 7
The following is a DFT calculation (PBE) of a relaxed structure of CdTe2MoI.

```
CdTe2MoI
1.0
5.282 0.000 0.000
0.000 5.282 0.000
0.000 0.000 5.827
Te I Mo Cd
2 1 1 1
direct
0.500 0.000 0.000
0.000 0.500 0.000
0.000 0.000 0.500
0.000 0.000 0.000
0.500 0.500 0.500
```

Properties
excess energy over the best structure of this formula in the dataset	0.0	meV/atom
total magnetization	1.0	μB per cell
theoretical density	6.0	g cm⁻³
raw formation energy	0.33	eV per atom



# 8
The following is a DFT calculation (PBE) of a relaxed structure of CdTe2MoI.

```
CdTe2MoI
1.0
-3.791 -1.530 -3.822
1.926 -5.251 0.192
-3.781 -1.231 4.244
Te Mo Cd I
2 1 1 1
direct
0.500 0.000 0.000
0.000 0.500 0.000
0.500 0.500 0.500
0.000 0.000 0.000
0.000 0.000 0.500
```

Properties
excess energy over the best structure of this formula in the dataset	738.6	meV/atom
total magnetization	3.7	μB per cell
theoretical density	5.4	g cm⁻³
raw formation energy	1.07	eV per atom



Question: What is the formula in the fourth record?
Answer: CdSb2MoI



Please write out number 1 again, unchanged.
The following is a DFT calculation (PBE) of a relaxed structure of CdMo2PI.

```
CdMo2PI
1.0
4.635 0.000 0.000
0.000 5.643 0.000
0.000 0.000 4.635
Mo I P Cd
2 1 1 1
direct
0.500 0.000 0.000
0.000 0.000 0.500
0.000 0.500 0.000
0.000 0.000 0.000
0.500 0.500 0.500
```

Properties
total magnetization	3.8	μB per cell
theoretical density	6.3	g cm⁻³
raw formation energy	1.10	eV per atom



Please write out number 2 again, unchanged.
The following is a DFT calculation (PBE) of a relaxed structure of Rb2CdMoI6.

```
Rb2CdMoI6
1.0
8.417 0.000 0.000
0.000 8.417 0.000
4.208 4.208 5.967
I Mo Rb Cd
6 1 2 1
direct
0.738 0.738 0.523
0.262 0.262 0.477
0.740 0.740 0.000
0.740 0.260 0.000
0.260 0.260 0.000
0.260 0.740 0.000
0.500 0.500 0.000
0.750 0.250 0.500
0.250 0.750 0.500
0.000 0.000 0.000
```

Properties
total magnetization	3.8	μB per cell
theoretical density	4.5	g cm⁻³
raw formation energy	-0.67	eV per atom



Question: The highest theoretical density belongs to which entry?
Answer: CdMo2PI